# Cr2Ni2N

A relaxed Cr2Ni2N crystal (PBE, the Alexandria database).

Lattice parameters (Å, degrees): 3.0185 3.0185 6.6344 76.85 76.85 90.00
With the nearest neighbours (Å) after each atom.
Element x y z (fractional)
Cr  0.7500  0.2500  0.5000  4 Cr 2.13
Cr  0.2500  0.7500  0.5000  4 Cr 2.13
Ni  0.5903  0.5903  0.8193  1 Ni 2.27, 4 N 2.42, 4 Cr 2.51
Ni  0.4097  0.4097  0.1807  1 Ni 2.27, 4 N 2.42, 4 Cr 2.51
N  0.0000  0.0000  0.0000  8 Ni 2.42

Results
- SG = I4/mmm, No. 139
- E (eV/cell) = -33.73
- calculated density (g/cm³) = 6.829
- E_form (uncorrected) (meV per atom) = 1082
- total magnetic moment (μB/cell) = 0.00
- DOS(E_F) (states/eV per cell) = 6.399
- energy above the lowest structure with this stoichiometry (meV/atom) = 516.3